Record 1
{"formula": "MgGe3Cl", "functional": "PBE", "state": "relaxed", "mass_density_g_cm3": 3.712, "raw_formation_energy_mev_per_atom": 619, "polymorph_energy_mev_per_atom": 0, "lattice_angstrom": [[4.9893, 0.0000, 0.0000], [0.0000, 4.9893, 0.0000], [0.0000, 0.0000, 4.9893]], "species": ["Ge", "Ge", "Ge", "Mg", "Cl"], "frac_coords": [[0.0000, 0.5000, 0.0000], [0.0000, 0.0000, 0.5000], [0.5000, 0.0000, 0.0000], [0.5000, 0.5000, 0.5000], [0.0000, 0.0000, 0.0000]]}

---

Record 2
{"formula": "Na7TlPb3", "functional": "PBE", "state": "relaxed", "mass_density_g_cm3": 4.707, "formation_energy_mev_per_atom": -39, "lattice_angstrom": [[5.7581, -0.1262, -0.1617], [-2.7050, 7.8255, 0.6936], [-2.7050, -1.2242, 7.7602]], "species": ["Na", "Na", "Na", "Na", "Na", "Na", "Na", "Tl", "Pb", "Pb", "Pb"], "frac_coords": [[0.1880, 0.1862, 0.1862], [0.3249, 0.0533, 0.5975], [0.6751, 0.4025, 0.9467], [0.3249, 0.5975, 0.0533], [0.0000, 0.5000, 0.5000], [0.6751, 0.9467, 0.4025], [0.8120, 0.8138, 0.8138], [0.5000, 0.5000, 0.5000], [0.0000, 0.7777, 0.2223], [0.5000, 0.0000, 0.0000], [0.0000, 0.2223, 0.7777]]}

---

Record 3
{"formula": "Tm6C2S2N", "functional": "PBE", "state": "relaxed", "mass_density_g_cm3": 9.005, "raw_formation_energy_mev_per_atom": -1292, "lattice_angstrom": [[6.2057, -0.0078, 0.0620], [-3.0740, 5.3909, 0.0620], [-1.1105, -1.9089, 6.1104]], "species": ["Tm", "Tm", "Tm", "Tm", "Tm", "Tm", "C", "C", "S", "S", "N"], "frac_coords": [[0.7379, 0.7379, 0.7109], [0.0717, 0.4033, 0.7127], [0.2621, 0.2621, 0.2891], [0.4033, 0.0717, 0.7127], [0.9283, 0.5967, 0.2873], [0.5967, 0.9283, 0.2873], [0.3312, 0.6688, 0.5000], [0.6688, 0.3312, 0.5000], [0.8330, 0.1670, 0.0000], [0.1670, 0.8330, 0.0000], [0.0000, 0.0000, 0.5000]]}

---

Record 4
{"formula": "K7Rb12H", "functional": "PBE", "state": "relaxed", "mass_density_g_cm3": 1.411, "dft_energy_ev_per_fu": -22.6, "lattice_angstrom": [[11.2324, 0.0000, 3.9355], [-5.7586, 10.5521, 4.4377], [-0.2849, 0.0000, 12.8110]], "species": ["K", "K", "K", "K", "K", "K", "K", "Rb", "Rb", "Rb", "Rb", "Rb", "Rb", "Rb", "Rb", "Rb", "Rb", "Rb", "Rb", "H"], "frac_coords": [[0.8664, 0.3255, 0.2099], [0.9237, 0.7901, 0.5354], [0.4591, 0.5354, 0.6745], [0.5000, 0.0000, 0.0000], [0.5409, 0.4646, 0.3255], [0.0763, 0.2099, 0.4646], [0.1336, 0.6745, 0.7901], [0.6620, 0.4229, 0.9469], [0.3911, 0.0531, 0.3698], [0.1697, 0.1474, 0.0977], [0.7326, 0.9023, 0.2450], [0.7609, 0.3698, 0.5771], [0.9776, 0.2450, 0.8526], [0.0224, 0.7550, 0.1474], [0.2391, 0.6302, 0.4229], [0.2674, 0.0977, 0.7550], [0.8303, 0.8526, 0.9023], [0.6089, 0.9469, 0.6302], [0.3380, 0.5771, 0.0531], [0.0000, 0.0000, 0.0000]]}

---

Record 5
{"formula": "Tl6Hg2Pb", "functional": "PBE", "state": "relaxed", "mass_density_g_cm3": 11.224, "formation_energy_mev_per_atom": 3, "polymorph_energy_mev_per_atom": 4, "lattice_angstrom": [[5.2944, 0.0000, 1.7629], [2.6476, 5.8373, 0.8803], [0.0145, 0.0015, 8.7879]], "species": ["Tl", "Tl", "Tl", "Tl", "Tl", "Tl", "Hg", "Hg", "Pb"], "frac_coords": [[0.9794, 0.1919, 0.8494], [0.3288, 0.1918, 0.1505], [0.6712, 0.8082, 0.8495], [0.3247, 0.8505, 0.5000], [0.6753, 0.1495, 0.5000], [0.0206, 0.8081, 0.1506], [0.3487, 0.5000, 0.8027], [0.6513, 0.5000, 0.1973], [0.0000, 0.5000, 0.5000]]}

---

Record 6
{"formula": "RbRhSCl2", "functional": "PBE", "state": "relaxed", "mass_density_g_cm3": 3.994, "raw_formation_energy_mev_per_atom": -780, "polymorph_energy_mev_per_atom": 0, "lattice_angstrom": [[5.2209, 0.0000, 0.0000], [0.0000, 5.2209, 0.0000], [0.0000, 0.0000, 4.4439]], "species": ["S", "Rh", "Rb", "Cl", "Cl"], "frac_coords": [[0.0000, 0.0000, 0.5000], [0.0000, 0.0000, 0.0000], [0.5000, 0.5000, 0.5000], [0.0000, 0.5000, 0.0000], [0.5000, 0.0000, 0.0000]]}

---

Record 7
{"formula": "AcPm6Pr2Er", "functional": "PBE", "state": "relaxed", "mass_density_g_cm3": 7.173, "formation_energy_mev_per_atom": 118, "lattice_angstrom": [[9.3380, -2.0799, -2.1584], [0.9693, 8.8207, -2.1393], [0.9693, -2.4647, 8.7354]], "species": ["Ac", "Ac", "Pm", "Pm", "Pm", "Pm", "Pm", "Pm", "Pm", "Pm", "Pm", "Pm", "Pm", "Pm", "Pr", "Pr", "Pr", "Pr", "Er", "Er"], "frac_coords": [[0.2500, 0.9774, 0.0226], [0.7500, 0.0226, 0.9774], [0.0557, 0.1325, 0.7490], [0.4443, 0.2510, 0.8675], [0.9443, 0.8675, 0.2510], [0.5557, 0.7490, 0.1325], [0.3104, 0.9849, 0.4356], [0.1896, 0.5644, 0.0151], [0.6896, 0.0151, 0.5644], [0.8104, 0.4356, 0.9849], [0.1162, 0.7112, 0.4983], [0.3838, 0.5017, 0.2888], [0.8838, 0.2888, 0.5017], [0.6162, 0.4983, 0.7112], [0.4547, 0.8004, 0.6844], [0.0453, 0.3156, 0.1996], [0.5453, 0.1996, 0.3156], [0.9547, 0.6844, 0.8004], [0.2500, 0.4111, 0.5889], [0.7500, 0.5889, 0.4111]]}

---

Record 8
{"formula": "Pm4TlBi", "functional": "PBE", "state": "relaxed", "mass_density_g_cm3": 8.594, "formation_energy_mev_per_atom": -379, "lattice_angstrom": [[6.4193, -0.4572, 0.0000], [-2.1815, 8.4804, 0.0000], [-2.1189, -4.0116, 7.1834]], "species": ["Pm", "Pm", "Pm", "Pm", "Pm", "Pm", "Pm", "Pm", "Tl", "Tl", "Bi", "Bi"], "frac_coords": [[0.0545, 0.2155, 0.8257], [0.7689, 0.7046, 0.6182], [0.2712, 0.6102, 0.8257], [0.3493, 0.9135, 0.6182], [0.6507, 0.0865, 0.3818], [0.7288, 0.3898, 0.1743], [0.2311, 0.2954, 0.3818], [0.9455, 0.7845, 0.1743], [0.2521, 0.0021, 0.0043], [0.7479, 0.9979, 0.9957], [0.3657, 0.6157, 0.2314], [0.6343, 0.3843, 0.7686]]}

---

Record 9
{"formula": "OsAuCl2", "functional": "PBE", "state": "relaxed", "mass_density_g_cm3": 11.064, "raw_formation_energy_mev_per_atom": 1300, "polymorph_energy_mev_per_atom": 1078, "lattice_angstrom": [[0.0000, 3.2516, 3.2516], [3.2516, 0.0000, 3.2516], [3.2516, 3.2516, 0.0000]], "species": ["Os", "Au", "Cl", "Cl"], "frac_coords": [[0.0000, 0.0000, 0.0000], [0.5000, 0.5000, 0.5000], [0.2500, 0.2500, 0.2500], [0.7500, 0.7500, 0.7500]]}

---

Record 10
{"formula": "Cd12Ag5Hg2", "functional": "PBE", "state": "relaxed", "mass_density_g_cm3": 8.468, "formation_energy_mev_per_atom": 49, "polymorph_energy_mev_per_atom": 37, "lattice_angstrom": [[5.9074, 0.0000, 0.0000], [-2.9537, 7.8500, 0.4571], [0.0000, -2.2511, 9.5502]], "species": ["Cd", "Cd", "Cd", "Cd", "Cd", "Cd", "Cd", "Cd", "Cd", "Cd", "Cd", "Cd", "Ag", "Ag", "Ag", "Ag", "Ag", "Hg", "Hg"], "frac_coords": [[0.1445, 0.2889, 0.3532], [0.0506, 0.6016, 0.8790], [0.5510, 0.6016, 0.8790], [0.1065, 0.7085, 0.3703], [0.6020, 0.7085, 0.3703], [0.4800, 0.9599, 0.6687], [0.5200, 0.0401, 0.3313], [0.8935, 0.2915, 0.6297], [0.3980, 0.2915, 0.6297], [0.9494, 0.3984, 0.1210], [0.4490, 0.3984, 0.1210], [0.8555, 0.7111, 0.6468], [0.3010, 0.6020, 0.6122], [0.3677, 0.7353, 0.1231], [0.0000, 0.0000, 0.5000], [0.6323, 0.2647, 0.8769], [0.6990, 0.3980, 0.3878], [0.7568, 0.0000, 0.0000], [0.2432, 0.0000, 0.0000]]}

---

Record 11
{"formula": "HoCd2Cu6", "functional": "PBE", "state": "relaxed", "mass_density_g_cm3": 8.434, "formation_energy_mev_per_atom": 47, "lattice_angstrom": [[-1.0565, -0.9837, 3.0462], [-4.5251, -5.7822, -1.5716], [2.0906, -7.2070, 0.2628]], "species": ["Ho", "Cd", "Cd", "Cu", "Cu", "Cu", "Cu", "Cu", "Cu"], "frac_coords": [[0.0000, 0.0000, 0.0000], [0.8589, 0.6411, 0.6411], [0.1411, 0.3589, 0.3589], [0.6761, 0.0051, 0.6427], [0.3239, 0.9949, 0.3573], [0.3239, 0.3573, 0.9949], [0.5000, 0.6768, 0.3232], [0.5000, 0.3232, 0.6768], [0.6761, 0.6427, 0.0051]]}

---

Record 12
{"formula": "Na2LiAg3", "functional": "PBE", "state": "relaxed", "mass_density_g_cm3": 4.962, "formation_energy_mev_per_atom": -120, "lattice_angstrom": [[5.0074, -0.1147, -2.6447], [-3.1611, 4.6926, -0.2623], [-0.2696, 0.0594, 5.5668]], "species": ["Na", "Na", "Li", "Ag", "Ag", "Ag"], "frac_coords": [[0.7551, 0.3776, 0.1327], [0.2449, 0.6224, 0.8673], [0.0000, 0.0000, 0.0000], [0.5000, 0.5000, 0.5000], [0.0000, 0.0000, 0.5000], [0.5000, 0.0000, 0.5000]]}